Entry 1:
Material: MnReBr2
Method: DFT, PBE
State: relaxed

Cell and atoms, written as POSCAR:
```
MnReBr2
1.0
4.653 0.058 0.000
-0.071 4.653 0.000
0.000 0.000 3.220
Br Mn Re
2 1 1
direct
0.000 0.000 0.000
0.500 0.500 0.000
0.500 0.000 0.500
0.000 0.500 0.500
```

## Properties
VASP energy ... -5.133 eV/atom
Relative energy among the computed polymorphs ... 899 meV/atom
E_form (uncorrected) ... 106.9 kJ per mole of atoms

Entry 2:
Material: TbCoSb
Method: DFT, PBE
State: relaxed

Cell and atoms, written as POSCAR:
```
TbCoSb
1.0
-0.393 2.618 2.958
-4.234 0.294 -0.823
1.457 -2.950 2.804
Sb Tb Co
1 1 1
direct
0.167 0.333 0.667
0.667 0.667 0.333
0.166 0.000 0.000
```

## Properties
VASP energy ... -5.850 eV/atom
E_form (uncorrected) ... -54.4 kJ per mole of atoms

Entry 3:
Material: Cs2RbZnGeSe
Method: DFT, PBE
State: relaxed

Cell and atoms, written as POSCAR:
```
Cs2RbZnGeSe
1.0
4.475 -0.001 -0.002
-0.001 6.074 0.000
-2.222 -0.002 9.676
Cs Zn Rb Ge Se
2 1 1 1 1
direct
0.199 0.055 0.466
0.345 0.556 0.764
0.600 0.558 0.263
0.474 0.056 0.018
0.061 0.551 0.184
0.839 0.055 0.748
```

## Properties
VASP energy ... -2.407 eV/atom
Relative energy among the computed polymorphs ... 16 meV/atom
E_form (uncorrected) ... -38.5 kJ per mole of atoms

Number 1: M_tot 1.081 μB/atom. Number 2: M_tot 0.168 μB/atom. Number 3: M_tot 0.000 μB/atom.